B2TeSe: PBEsol geometry, SCAN.

extended XYZ file:
```
8
Lattice="-4.2493 -2.4950 -2.7402 5.2669 -0.6072 -1.8141 2.6103 -4.9744 0.4814" Properties=species:S:1:pos:R:3 pbc="T T T"
B 2.4009 -3.8052 -2.8103
B 5.5753 -5.1949 -1.3642
B -0.8485 -5.2944 -2.5648
B 0.1280 -1.8587 -1.4064
Te 0.0000 0.0000 0.0000
Te 1.4042 -5.9056 -2.6011
Se -0.8195 -3.7347 -1.1294
Se 2.2237 -2.1709 -1.4717
```

Formation energy without anion corrections (eV per atom): 0.880
ΔE to the lowest computed polymorph (kcal/mol of atoms): 0.000
E (eV/atom): -17.167
Calculated volume (Å³/f.u.): 62.6
Crystal system: tetragonal
SG: No. 122